# ZnP2W

A relaxed ZnP2W crystal (PBE, Alexandria via LeMat-Bulk).

Results
The formation energy comes out at -0.04 eV per atom.

Lattice parameters (Å, degrees): 3.129 3.138 6.435 70.75 90.00 90.00
Fractional positions:
P1 0.000 0.900 0.031
P2 0.000 0.600 0.469
Zn1 0.500 0.750 0.750
W1 0.500 0.250 0.250


# Mg2PaSn3

A relaxed Mg2PaSn3 crystal (PBE, Alexandria via LeMat-Bulk).

Results
The formation energy comes out at -0.21 eV per atom.

Lattice parameters (Å, degrees): 4.342 4.640 7.584 107.81 90.00 90.00
Fractional positions:
Mg1 0.000 0.671 0.341
Mg2 0.000 0.329 0.659
Sn1 0.500 0.831 0.662
Sn2 0.500 0.500 0.000
Sn3 0.500 0.169 0.338
Pa1 0.000 0.000 0.000


# BWI2N

A relaxed BWI2N crystal (PBE, Alexandria via LeMat-Bulk).

Results
The value obtained for the raw formation energy is 1023 meV/atom.

Lattice parameters (Å, degrees): 6.354 6.354 2.771 90.00 90.00 90.00
Fractional positions:
I1 0.500 0.000 0.000
I2 0.000 0.500 0.000
N1 0.000 0.000 0.500
W1 0.500 0.500 0.500
B1 0.000 0.000 0.000


# Re2OsBr

A relaxed Re2OsBr crystal (PBE, Alexandria via LeMat-Bulk).

Results
The value obtained for the raw formation energy is 1509 meV/atom.

Lattice parameters (Å, degrees): 5.784 5.784 6.738 64.58 64.58 90.00
Fractional positions:
Os1 0.750 0.250 0.500
Os2 0.000 0.000 0.000
Re1 0.110 0.625 0.250
Re2 0.375 0.360 0.750
Re3 0.875 0.890 0.750
Re4 0.640 0.125 0.250
Br1 0.250 0.750 0.500
Br2 0.500 0.500 0.000


# PuZrN

A relaxed PuZrN crystal (PBE, Alexandria via LeMat-Bulk).

Results
The value obtained for the raw formation energy is -1001 meV/atom.

Lattice parameters (Å, degrees): 3.277 3.277 8.568 90.00 67.55 90.00
Fractional positions:
N1 0.395 0.750 0.855
N2 0.605 0.250 0.145
Pu1 0.696 0.750 0.554
Pu2 0.304 0.250 0.446
Zr1 0.107 0.750 0.144
Zr2 0.893 0.250 0.856


# HfB3Br

A relaxed HfB3Br crystal (PBE, Alexandria via LeMat-Bulk).

Results
The value obtained for the raw formation energy is 2056 meV/atom.

Lattice parameters (Å, degrees): 4.086 4.086 4.086 90.00 90.00 90.00
Fractional positions:
Br1 0.000 0.000 0.000
Hf1 0.500 0.500 0.500
B1 0.000 0.000 0.500
B2 0.500 0.000 0.000
B3 0.000 0.500 0.000


# BeIrF

A relaxed BeIrF crystal (PBE, Alexandria via LeMat-Bulk).

Results
The value obtained for the raw formation energy is -1197 meV/atom.

Lattice parameters (Å, degrees): 2.625 2.618 13.545 90.00 90.00 120.08
Fractional positions:
F1 0.223 0.446 0.922
F2 0.223 0.446 0.078
Ir1 0.669 0.337 0.363
Ir2 0.669 0.337 0.637
Be1 0.335 0.669 0.500
Be2 0.549 0.097 0.000


# Tb4Y3Sc

A relaxed Tb4Y3Sc crystal (PBE, Alexandria via LeMat-Bulk).

Results
The formation energy comes out at 0.09 eV per atom.

Lattice parameters (Å, degrees): 8.828 8.828 8.895 119.75 119.75 90.00
Fractional positions:
Y1 0.250 0.250 0.500
Y2 0.350 0.150 0.000
Y3 0.850 0.350 0.000
Y4 0.150 0.650 0.000
Y5 0.650 0.850 0.000
Y6 0.750 0.750 0.500
Tb1 0.486 0.986 0.673
Tb2 0.986 0.187 0.673
Tb3 0.187 0.687 0.673
Tb4 0.687 0.486 0.673
Tb5 0.014 0.813 0.327
Tb6 0.514 0.014 0.327
Tb7 0.813 0.313 0.327
Tb8 0.313 0.514 0.327
Sc1 0.500 0.500 0.000
Sc2 0.000 0.000 0.000